Record 1
Computed, not measured: Ac8SmY4 after structural relaxation at the GGA-PBE level of DFT.

```
data_Ac8SmY4
_space_group_name_H-M_alt 'R -3 m'
_space_group_IT_number 166
_space_group_name_Hall '-R 3 2"'
_cell_length_a 11.8142
_cell_length_b 11.8142
_cell_length_c 14.4533
_cell_angle_alpha 90.00
_cell_angle_beta 90.00
_cell_angle_gamma 120.00
loop_
_atom_site_label
_atom_site_type_symbol
_atom_site_fract_x
_atom_site_fract_y
_atom_site_fract_z
Ac1 Ac 0.0000 0.0000 0.2417
Ac2 Ac 0.0109 0.5054 0.7471
Sm1 Sm 0.0000 0.0000 0.5000
Y1 Y 0.0000 0.0000 0.0000
Y2 Y 0.0000 0.5000 0.0000
```

Output
ΔE_f	0.4020	eV per atom
VASP energy	-0.1646	hartree per atom


Record 2
Computed, not measured: Pm2Ga3Cu4Rh after structural relaxation at the GGA-PBE level of DFT.

```
data_Pm2Ga3Cu4Rh
_space_group_name_H-M_alt 'P -4 m 2'
_space_group_IT_number 115
_cell_length_a 4.0941
_cell_length_b 4.0941
_cell_length_c 10.5468
_cell_angle_alpha 90.00
_cell_angle_beta 90.00
_cell_angle_gamma 90.00
loop_
_space_group_symop_operation_xyz
'x,y,z'
'y,-x,-z'
'-x,-y,z'
'-y,x,-z'
'-x,y,z'
'-y,-x,-z'
'x,-y,z'
'y,x,-z'
loop_
_atom_site_label
_atom_site_type_symbol
_atom_site_fract_x
_atom_site_fract_y
_atom_site_fract_z
Pm1 Pm 0.0000 0.5000 0.2455
Ga1 Ga 0.0000 0.0000 0.0000
Ga2 Ga 0.0000 0.5000 0.6283
Cu1 Cu 0.0000 0.0000 0.5000
Cu2 Cu 0.0000 0.5000 0.8586
Cu3 Cu 0.5000 0.5000 0.5000
Rh1 Rh 0.5000 0.5000 0.0000
```

Output
ΔE_f	-0.3969	eV per atom
VASP energy	-0.1701	hartree per atom


Record 3
Computed, not measured: Pm6Nd2Dy3 after structural relaxation at the GGA-PBE level of DFT.

```
data_Pm6Nd2Dy3
_space_group_name_H-M_alt 'I 4/m m m'
_space_group_IT_number 139
_space_group_name_Hall '-I 4 2'
_cell_length_a 4.8019
_cell_length_b 4.8019
_cell_length_c 33.9675
_cell_angle_alpha 90.00
_cell_angle_beta 90.00
_cell_angle_gamma 90.00
loop_
_atom_site_label
_atom_site_type_symbol
_atom_site_fract_x
_atom_site_fract_y
_atom_site_fract_z
Pm1 Pm 0.0000 0.0000 0.1995
Pm2 Pm 0.0000 0.5000 0.1218
Nd1 Nd 0.0000 0.0000 0.0455
Dy1 Dy 0.0000 0.0000 0.3008
Dy2 Dy 0.0000 0.0000 0.5000
```

Output
ΔE_f	0.2759	eV per atom
VASP energy	-0.1631	hartree per atom
E above lowest polymorph	0	meV per atom


Record 4
Computed, not measured: Ac2S3 after structural relaxation at the GGA-PBE level of DFT.

```
data_Ac2S3
_space_group_name_H-M_alt 'P n m a'
_space_group_IT_number 62
_cell_length_a 11.5783
_cell_length_b 4.2865
_cell_length_c 11.2816
_cell_angle_alpha 90.00
_cell_angle_beta 90.00
_cell_angle_gamma 90.00
loop_
_space_group_symop_operation_xyz
'x,y,z'
'-x,-y,-z'
'-x+1/2,-y,z+1/2'
'x+1/2,y,-z+1/2'
'x+1/2,-y+1/2,-z+1/2'
'-x+1/2,y+1/2,z+1/2'
'-x,y+1/2,-z'
'x,-y+1/2,z'
loop_
_atom_site_label
_atom_site_type_symbol
_atom_site_fract_x
_atom_site_fract_y
_atom_site_fract_z
Ac1 Ac 0.0064 0.2500 0.1864
Ac2 Ac 0.1904 0.2500 0.5080
S1 S 0.0473 0.7500 0.3738
S2 S 0.1200 0.2500 0.9449
S3 S 0.2295 0.7500 0.6993
```

Output
VASP energy	-0.2314	hartree per atom
uncorrected formation energy	-2.1778	eV per atom
E above lowest polymorph	0	meV per atom


Record 5
Computed, not measured: BeFe2P after structural relaxation at the GGA-PBE level of DFT.

```
data_BeFe2P
_space_group_name_H-M_alt 'R 3 m'
_space_group_IT_number 160
_space_group_name_Hall 'R 3 -2"'
_cell_length_a 3.7136
_cell_length_b 3.7136
_cell_length_c 11.0078
_cell_angle_alpha 90.00
_cell_angle_beta 90.00
_cell_angle_gamma 120.00
loop_
_atom_site_label
_atom_site_type_symbol
_atom_site_fract_x
_atom_site_fract_y
_atom_site_fract_z
Be1 Be 0.0000 0.0000 0.0000
Fe1 Fe 0.0000 0.0000 0.5744
Fe2 Fe 0.0000 0.0000 0.7842
P1 P 0.0000 0.0000 0.1955
```

Output
ΔE_f	-0.0982	eV per atom
VASP energy	-0.2430	hartree per atom
E above lowest polymorph	345	meV per atom


Record 6
Computed, not measured: Mg3SbN after structural relaxation at the GGA-PBE level of DFT.

```
data_Mg3SbN
_space_group_name_H-M_alt 'R -3 c'
_space_group_IT_number 167
_space_group_name_Hall '-R 3 2"c'
_cell_length_a 6.7400
_cell_length_b 6.7400
_cell_length_c 18.2280
_cell_angle_alpha 90.00
_cell_angle_beta 90.00
_cell_angle_gamma 120.00
loop_
_atom_site_label
_atom_site_type_symbol
_atom_site_fract_x
_atom_site_fract_y
_atom_site_fract_z
Mg1 Mg 0.0000 0.2889 0.2500
Sb1 Sb 0.0000 0.0000 0.0000
N1 N 0.0000 0.0000 0.2500
```

Output
VASP energy	-0.1316	hartree per atom
uncorrected formation energy	-0.1358	eV per atom


Record 7
Computed, not measured: KMoPt4 after structural relaxation at the GGA-PBE level of DFT.

```
data_KMoPt4
_space_group_name_H-M_alt 'F -4 3 m'
_space_group_IT_number 216
_space_group_name_Hall 'F -4 2 3'
_cell_length_a 7.6213
_cell_length_b 7.6213
_cell_length_c 7.6213
_cell_angle_alpha 90.00
_cell_angle_beta 90.00
_cell_angle_gamma 90.00
loop_
_atom_site_label
_atom_site_type_symbol
_atom_site_fract_x
_atom_site_fract_y
_atom_site_fract_z
K1 K 0.0000 0.0000 0.0000
Mo1 Mo 0.2500 0.2500 0.7500
Pt1 Pt 0.1245 0.1245 0.3755
```

Output
ΔE_f	0.2792	eV per atom
VASP energy	-0.2108	hartree per atom


Record 8
Computed, not measured: Ca2Pr3UN6 after structural relaxation at the GGA-PBE level of DFT.

```
data_Ca2Pr3UN6
_space_group_name_H-M_alt 'C 1 2/m 1'
_space_group_IT_number 12
_cell_length_a 6.2079
_cell_length_b 10.7244
_cell_length_c 6.2184
_cell_angle_alpha 90.00
_cell_angle_beta 109.31
_cell_angle_gamma 90.00
loop_
_space_group_symop_operation_xyz
'x,y,z'
'-x,-y,-z'
'-x,y,-z'
'x,-y,z'
'x+1/2,y+1/2,z'
'-x+1/2,-y+1/2,-z'
'-x+1/2,y+1/2,-z'
'x+1/2,-y+1/2,z'
loop_
_atom_site_label
_atom_site_type_symbol
_atom_site_fract_x
_atom_site_fract_y
_atom_site_fract_z
Ca1 Ca 0.0000 0.1662 0.0000
Pr1 Pr 0.0000 0.0000 0.5000
Pr2 Pr 0.0000 0.3322 0.5000
U1 U 0.0000 0.5000 0.0000
N1 N 0.2172 0.5000 0.7649
N2 N 0.2227 0.3536 0.2293
```

Output
VASP energy	-0.2915	hartree per atom
uncorrected formation energy	-1.3003	eV per atom


Record 9
Computed, not measured: LuMgTl after structural relaxation at the GGA-PBE level of DFT.

```
data_LuMgTl
_space_group_name_H-M_alt 'P 3 m 1'
_space_group_IT_number 156
_cell_length_a 4.9629
_cell_length_b 4.9629
_cell_length_c 3.5003
_cell_angle_alpha 90.00
_cell_angle_beta 90.00
_cell_angle_gamma 120.00
loop_
_space_group_symop_operation_xyz
'x,y,z'
'-y,x-y,z'
'-x+y,-x,z'
'-y,-x,z'
'-x+y,y,z'
'x,x-y,z'
loop_
_atom_site_label
_atom_site_type_symbol
_atom_site_fract_x
_atom_site_fract_y
_atom_site_fract_z
Lu1 Lu 0.0000 0.0000 0.0000
Mg1 Mg 0.3333 0.6667 0.5010
Tl1 Tl 0.6667 0.3333 0.4992
```

Output
ΔE_f	-0.1813	eV per atom
VASP energy	-0.1106	hartree per atom


Record 10
Computed, not measured: PrDySc2 after structural relaxation at the GGA-PBE level of DFT.

```
data_PrDySc2
_space_group_name_H-M_alt 'P 4/m m m'
_space_group_IT_number 123
_space_group_name_Hall '-P 4 2'
_cell_length_a 3.9147
_cell_length_b 3.9147
_cell_length_c 7.5545
_cell_angle_alpha 90.00
_cell_angle_beta 90.00
_cell_angle_gamma 90.00
loop_
_atom_site_label
_atom_site_type_symbol
_atom_site_fract_x
_atom_site_fract_y
_atom_site_fract_z
Pr1 Pr 0.0000 0.0000 0.0000
Dy1 Dy 0.0000 0.0000 0.5000
Sc1 Sc 0.5000 0.5000 0.2587
```

Output
ΔE_f	0.0781	eV per atom
VASP energy	-0.1997	hartree per atom
E above lowest polymorph	20	meV per atom


Record 11
Computed, not measured: V3ReOs2 after structural relaxation at the GGA-PBE level of DFT.

```
data_V3ReOs2
_space_group_name_H-M_alt 'C m m m'
_space_group_IT_number 65
_space_group_name_Hall '-C 2 2'
_cell_length_a 4.2819
_cell_length_b 12.8516
_cell_length_c 6.0495
_cell_angle_alpha 90.00
_cell_angle_beta 90.00
_cell_angle_gamma 90.00
loop_
_atom_site_label
_atom_site_type_symbol
_atom_site_fract_x
_atom_site_fract_y
_atom_site_fract_z
V1 V 0.0000 0.0000 0.2473
V2 V 0.0000 0.3322 0.2464
Re1 Re 0.0000 0.1659 0.0000
Os1 Os 0.0000 0.1663 0.5000
Os2 Os 0.0000 0.5000 0.0000
Os3 Os 0.0000 0.5000 0.5000
```

Output
ΔE_f	-0.2893	eV per atom
VASP energy	-0.3920	hartree per atom


Record 12
Computed, not measured: Na2PuAu2O6 after structural relaxation at the GGA-PBE level of DFT.

```
data_Na2PuAu2O6
_space_group_name_H-M_alt 'C 1 2/m 1'
_space_group_IT_number 12
_cell_length_a 6.3318
_cell_length_b 9.3963
_cell_length_c 6.4116
_cell_angle_alpha 90.00
_cell_angle_beta 118.41
_cell_angle_gamma 90.00
loop_
_space_group_symop_operation_xyz
'x,y,z'
'-x,-y,-z'
'-x,y,-z'
'x,-y,z'
'x+1/2,y+1/2,z'
'-x+1/2,-y+1/2,-z'
'-x+1/2,y+1/2,-z'
'x+1/2,-y+1/2,z'
loop_
_atom_site_label
_atom_site_type_symbol
_atom_site_fract_x
_atom_site_fract_y
_atom_site_fract_z
Na1 Na 0.0000 0.1823 0.0000
Pu1 Pu 0.0000 0.0000 0.5000
Au1 Au 0.0000 0.3268 0.5000
O1 O 0.1880 0.1571 0.7414
O2 O 0.2393 0.5000 0.6766
```

Output
VASP energy	-0.2267	hartree per atom
uncorrected formation energy	-1.3263	eV per atom